Record 1
Density functional theory data (GGA-PBE) for SmAl2TeO8 after structural relaxation.

Properties
- raw formation energy (eV per atom) = -2.1339
- SG = Cmmm (65)
- density of states at the Fermi level (states/eV/cell) = 1.4

POSCAR file:
```
SmAl2TeO8
1.0
3.176 -3.258 0.000
3.176 3.258 0.000
0.000 0.000 6.597
Sm Al Te O
1 2 1 8
Cartesian
0.000 0.000 0.000
3.176 0.000 1.799
3.176 0.000 4.797
0.000 0.000 3.298
1.314 0.000 1.872
1.314 0.000 4.724
3.176 1.289 3.298
3.176 1.013 0.000
3.176 -1.013 0.000
3.176 -1.289 3.298
5.038 0.000 1.872
5.038 0.000 4.724
```

---

Record 2
Density functional theory data (GGA-PBE) for SmAlTeO6 after structural relaxation.

Properties
- raw formation energy (eV per atom) = -2.3482
- SG = P-31c (163)
- density of states at the Fermi level (states/eV/cell) = 0.0

POSCAR file:
```
SmAlTeO6
1.0
5.094 0.000 0.000
-2.547 4.412 0.000
0.000 0.000 10.143
Sm Al Te O
2 2 2 12
Cartesian
0.000 0.000 0.000
0.000 0.000 5.071
0.000 2.941 2.536
2.547 1.471 7.607
0.000 2.941 7.607
2.547 1.471 2.536
-0.931 1.639 1.459
-1.593 2.786 3.612
0.931 1.639 3.612
-0.662 4.399 1.459
1.885 0.013 6.530
0.954 1.626 8.684
1.593 2.786 1.459
0.662 4.399 3.612
3.210 0.013 8.684
1.616 2.773 6.530
4.141 1.626 6.530
3.478 2.773 8.684
```

---

Record 3
Density functional theory data (GGA-PBE) for Sm2TiAlO6 after structural relaxation.

Properties
- raw formation energy (eV per atom) = -3.1980
- SG = P2_1/c (14)
- density of states at the Fermi level (states/eV/cell) = 5.5

POSCAR file:
```
Sm2TiAlO6
1.0
5.399 0.000 0.000
0.000 5.603 0.000
-5.304 0.000 7.620
Sm Ti Al O
4 2 2 12
Cartesian
-0.058 0.338 1.897
-2.710 2.463 5.707
2.805 3.140 1.913
0.153 5.265 5.723
-2.652 0.000 3.810
0.000 2.801 0.000
2.699 0.000 0.000
0.048 2.801 3.810
-4.154 1.089 7.265
-1.502 1.713 3.455
-3.655 3.986 7.280
-1.003 4.418 3.470
-2.145 0.116 5.758
0.507 2.685 1.948
-0.412 2.918 5.672
2.240 5.487 1.862
1.098 1.185 4.150
3.750 1.617 0.340
1.597 3.890 4.165
4.249 4.514 0.355
```

---

Please write out number 2 again, unchanged.
Density functional theory data (GGA-PBE) for SmAlTeO6 after structural relaxation.

Properties
- raw formation energy (eV per atom) = -2.3482
- SG = P-31c (163)
- density of states at the Fermi level (states/eV/cell) = 0.0

POSCAR file:
```
SmAlTeO6
1.0
5.094 0.000 0.000
-2.547 4.412 0.000
0.000 0.000 10.143
Sm Al Te O
2 2 2 12
Cartesian
0.000 0.000 0.000
0.000 0.000 5.071
0.000 2.941 2.536
2.547 1.471 7.607
0.000 2.941 7.607
2.547 1.471 2.536
-0.931 1.639 1.459
-1.593 2.786 3.612
0.931 1.639 3.612
-0.662 4.399 1.459
1.885 0.013 6.530
0.954 1.626 8.684
1.593 2.786 1.459
0.662 4.399 3.612
3.210 0.013 8.684
1.616 2.773 6.530
4.141 1.626 6.530
3.478 2.773 8.684
```